No. 1
# Ce2DyPt

Crystalline Ce2DyPt at its relaxed geometry (PBE-GGA, the Alexandria database).

Lattice parameters (Å, degrees): 3.7510 3.7510 7.5615 90.00 90.00 90.00
Closest atoms and distances in Å follow each position.
Space group P4/mmm (No. 123)
Inequivalent atoms, fractional coordinates:
Ce1 0.0000 0.0000 0.1964  1 Ce 2.97, 4 Pt 3.04
Dy1 0.5000 0.5000 0.5000  8 Ce 3.51, 4 Dy 3.75, 2 Pt 3.78
Pt1 0.5000 0.5000 0.0000  8 Ce 3.04

Properties
magnetization: 0.216 μB/atom
volume: 26.60 Å³/atom
formation energy from the elements: -1.74 eV per formula unit

No. 2
# TiMn4Cd

Crystalline TiMn4Cd at its relaxed geometry (PBE-GGA, the Alexandria database).

Lattice parameters (Å, degrees): 6.8030 6.8030 6.8030 90.00 90.00 90.00
Closest atoms and distances in Å follow each position.
Space group F-43m (No. 216)
Inequivalent atoms, fractional coordinates:
Ti1 0.0000 0.0000 0.0000  12 Mn 2.82, 4 Cd 2.95
Mn1 0.1248 0.1248 0.3752  6 Mn 2.40-2.41
Cd1 0.2500 0.2500 0.7500  12 Mn 2.82, 4 Ti 2.95

Properties
magnetization: 0.234 μB/atom
volume: 13.12 Å³/atom
formation energy from the elements: 0.44 eV per formula unit

Among the records above, which one has the lowest magnetization?
Ce2DyPt

Which formula does entry 2 have?
TiMn4Cd

Which formula does entry 2 have?
TiMn4Cd